Computed, not measured: Cs2PmTl2O4 after structural relaxation at the PBE level of DFT.

**Formation energy (no corrections)**: -1.528 eV per atom
**Energy**: -44.78 eV/cell
**Space group**: C2/m

```
Cs2PmTl2O4
1.0
3.711 0.000 0.000
-1.856 8.592 1.095
0.000 -2.179 7.012
Cs Pm Tl O
2 1 2 4
Direct
0.878 0.755 0.408
0.122 0.245 0.592
0.000 0.000 0.000
0.325 0.650 0.929
0.675 0.350 0.071
0.877 0.754 0.794
0.123 0.246 0.206
0.444 0.888 0.146
0.556 0.112 0.854
```